Record 1
TaCo4Pt2 after structural relaxation, computed with GGA-PBE.

Values from the calculation:
Theoretical density in Mg/m³: 14.4
Formation energy from the elements in eV/atom: -0.18
Density of states at the Fermi level in states/eV/f.u.: 7.3
Calculated total energy in eV per formula unit: -53.64
Magnetization in μB per cell: 10.67

a b c (Å): 6.3017 5.0890 7.0070
angles (deg): 113.37 103.91 103.86
Fractional positions:
Co1 0.9720 0.7550 0.5451
Co2 0.3996 0.1874 0.8312
Co3 0.9246 0.2079 0.2330
Co4 0.2430 0.0277 0.3960
Co5 0.7785 0.0827 0.8312
Co6 0.2007 0.4923 0.0918
Co7 0.8433 0.6083 0.1259
Co8 0.5057 0.7834 0.9580
Pt1 0.6339 0.9148 0.3749
Pt2 0.6809 0.4798 0.7010
Pt3 0.0706 0.3403 0.6667
Pt4 0.5429 0.3239 0.2484
Ta1 0.3392 0.6406 0.5218
Ta2 0.1150 0.9059 0.9750

=====

Record 2
AcPrCdPb after structural relaxation, computed with GGA-PBE.

Values from the calculation:
Theoretical density in Mg/m³: 8.8
Formation energy from the elements in eV/atom: -0.40
Density of states at the Fermi level in states/eV/f.u.: 4.0
Calculated total energy in eV per formula unit: -15.12
Magnetization in μB per cell: 0.00

a b c (Å): 5.6897 5.6897 5.6897
angles (deg): 60.00 60.00 60.00
Fractional positions:
Pb1 0.2500 0.2500 0.2500
Pr1 0.0000 0.0000 0.0000
Ac1 0.5000 0.5000 0.5000
Cd1 0.7500 0.7500 0.7500